(1)
The following is a GGA-PBE calculation of an optimized crystal structure of BeP2Cl, from the Alexandria database.

Output
**Distance to the lowest polymorph of the same formula**: 38.26 kJ/mol of atoms
**DOS(E_F)**: 1.735 states/eV/f.u.

a = 3.091 Å, b = 7.213 Å, c = 8.740 Å
α = 90.00°, β = 90.00°, γ = 90.00°
Space group Cmm2 (No. 35)
One atom of each set of equivalent atoms:
Be 0.000 0.000 0.000 [2 per cell]
P 0.000 0.000 0.620 [2 per cell]
P 0.000 0.500 0.787 [2 per cell]
Cl 0.000 0.500 0.154 [2 per cell]

(2)
The following is a GGA-PBE calculation of an optimized crystal structure of MnTl2Ni, from the Alexandria database.

Output
**Distance to the lowest polymorph of the same formula**: 28.00 kJ/mol of atoms
**DOS(E_F)**: 1.840 states/eV/f.u.
**Energy of formation**: 0.5743 eV per atom

a = 6.799 Å, b = 6.799 Å, c = 6.799 Å
α = 90.00°, β = 90.00°, γ = 90.00°
Space group F-43m (No. 216)
One atom of each set of equivalent atoms:
Mn 0.000 0.000 0.000 [4 per cell]
Tl 0.000 0.000 0.500 [4 per cell]
Tl 0.250 0.250 0.750 [4 per cell]
Ni 0.250 0.250 0.250 [4 per cell]

(3)
The following is a GGA-PBE calculation of an optimized crystal structure of La2Pt15Au2, from the Alexandria database.

Output
**DOS(E_F)**: 14.041 states/eV/f.u.
**Energy of formation**: -0.4591 eV per atom

a = 9.4103 Å, b = 9.4103 Å, c = 13.4314 Å
α = 90.00°, β = 90.00°, γ = 120.00°
Space group R-3m (No. 166, hexagonal axes)
One atom of each set of equivalent atoms:
La 0.0000 0.0000 0.1570 [6 per cell]
Pt 0.0000 0.3129 0.5000 [18 per cell]
Pt 0.0000 0.5000 0.0000 [9 per cell]
Pt 0.0051 0.5025 0.6577 [18 per cell]
Au 0.0000 0.0000 0.3968 [6 per cell]

(4)
The following is a GGA-PBE calculation of an optimized crystal structure of Tl2BiPb2, from the Alexandria database.

Output
**Distance to the lowest polymorph of the same formula**: 13.44 kJ/mol of atoms
**DOS(E_F)**: 3.146 states/eV/f.u.
**Energy of formation**: 0.1349 eV per atom

a = 9.478 Å, b = 9.478 Å, c = 3.566 Å
α = 90.00°, β = 90.00°, γ = 90.00°
Space group P4/mbm (No. 127)
One atom of each set of equivalent atoms:
Tl 0.120 0.380 0.000 [4 per cell]
Bi 0.000 0.000 0.000 [2 per cell]
Pb 0.183 0.683 0.500 [4 per cell]

no.,size of the total moment (μB/f.u.)
1,0.4
2,3.8
3,0.0
4,0.0